VASP calculation (PBE) on AgSb2Au after structural relaxation.

## Properties
formation energy from raw total energies: 0.75 eV/f.u.
calculated density: 10.05 Mg/m³
energy above the most stable polymorph in this dataset: 0.149 eV/atom
symmetry: Fm-3m (225)

a = 5.0409 Å, b = 5.0409 Å, c = 5.0409 Å
α = 60.00°, β = 60.00°, γ = 60.00°
Last column: nearest neighbours and their distance in Å.
Fractional positions:
Ag 0.0000 0.0000 0.0000  8 Sb 3.09
Sb 0.2500 0.2500 0.2500  4 Au 3.09, 4 Ag 3.09
Sb 0.7500 0.7500 0.7500  4 Ag 3.09, 4 Au 3.09
Au 0.5000 0.5000 0.5000  8 Sb 3.09